(1)
Material: Tb2CeTl
Method: DFT, PBE
State: optimized geometry

Calculated values
Volume, Å³ per atom: 30.3
Polymorph energy (0 for the lowest one), meV per atom: 84
ΔH_f (0 K), meV per atom: -57

Unit cell a=3.5714 b=3.5714 c=11.1568 alpha=80.79 beta=80.79 gamma=60.00
Last column: magnetic moment on the atom in μB.
Fractional coordinates of all 4 atoms:
Tl  0.6666  0.6666  0.0001  0.00
Ce  0.4999  0.4999  0.5003  0.80
Tb  0.0792  0.0792  0.7623  0.13
Tb  0.2543  0.2543  0.2372  0.06

(2)
Material: LiAcScSb2
Method: DFT, PBE
State: optimized geometry

Calculated values
Volume, Å³ per atom: 27.7
Energy relative to the elements, uncorrected, eV/atom: -0.84

Unit cell a=4.4558 b=4.4558 c=7.6450 alpha=106.94 beta=106.94 gamma=90.00
Last column: magnetic moment on the atom in μB.
Fractional coordinates of all 5 atoms:
Ac  0.0000  0.0000  0.0000  0.09
Li  0.2500  0.7500  0.5000  0.00
Sb  0.6228  0.6228  0.2456  -0.01
Sb  0.3772  0.3772  0.7544  -0.01
Sc  0.7500  0.2500  0.5000  0.12

(3)
Material: TaCr3Br
Method: DFT, PBE
State: optimized geometry

Calculated values
Volume, Å³ per atom: 23.6
Energy relative to the elements, uncorrected, eV/atom: 1.59

Unit cell a=4.9018 b=4.9018 c=4.9018 alpha=90.00 beta=90.00 gamma=90.00
Last column: magnetic moment on the atom in μB.
Fractional coordinates of all 5 atoms:
Cr  0.5000  0.0000  0.0000  3.73
Cr  0.0000  0.5000  0.0000  3.29
Cr  0.0000  0.0000  0.5000  2.92
Ta  0.0000  0.0000  0.0000  -0.74
Br  0.5000  0.5000  0.5000  0.06

(4)
Material: MgSi2O
Method: DFT, PBE
State: optimized geometry

Calculated values
Volume, Å³ per atom: 14.9
Polymorph energy (0 for the lowest one), meV per atom: 816
Energy relative to the elements, uncorrected, eV/atom: 0.55

Unit cell a=4.3872 b=4.3872 c=4.3872 alpha=60.00 beta=60.00 gamma=60.00
Fractional coordinates of all 4 atoms:
Si  0.7500  0.7500  0.7500
Si  0.2500  0.2500  0.2500
O  0.0000  0.0000  0.0000
Mg  0.5000  0.5000  0.5000

| no. | DFT total energy (eV for the cell shown) |
| --- | --- |
| 1 | -17.790 |
| 2 | -24.797 |
| 3 | -34.455 |
| 4 | -15.202 |